*1*
Material: AlZnSb
Method: DFT, PBE
State: relaxed

Properties
As for the space group: F-43m (216).

extended XYZ file:
```
3
Lattice="0.000 3.275 3.275 3.275 0.000 3.275 3.275 3.275 0.000" Properties=species:S:1:pos:R:3 pbc="T T T"
Sb 1.637 1.637 1.637
Zn 4.912 4.912 4.912
Al 0.000 0.000 0.000
```

---

*2*
Material: AlZnSb
Method: DFT, PBE
State: relaxed

Properties
As for the space group: F-43m (216).

extended XYZ file:
```
3
Lattice="0.000 3.348 3.348 3.348 0.000 3.348 3.348 3.348 0.000" Properties=species:S:1:pos:R:3 pbc="T T T"
Al 0.000 0.000 0.000
Zn 3.348 3.348 3.348
Sb 5.022 5.022 5.022
```

---

*3*
Material: AlZnSb
Method: DFT, PBE
State: relaxed

Properties
As for the space group: Pnma (62).

extended XYZ file:
```
12
Lattice="-2.441 -3.217 4.338 0.824 -3.433 -2.082 9.000 -0.630 4.598" Properties=species:S:1:pos:R:3 pbc="T T T"
Al 5.548 -3.745 2.317
Zn 2.769 -2.758 -0.408
Sb 4.088 -5.363 4.407
Zn 4.613 -4.521 7.262
Zn 1.698 -4.377 1.837
Zn 5.685 -2.902 5.017
Al 6.778 -5.525 5.738
Sb 8.200 -3.956 3.715
Al 0.605 -1.755 1.116
Sb 3.294 -1.917 2.447
Al 1.835 -3.535 4.536
Sb -0.817 -3.323 3.139
```

---

The structure with the least stability is *2*.

---

*1*
Material: Sc2AlTc
Method: DFT, PBE
State: relaxed

Properties
As for the space group: P6_3/mmc (194). As for the magnetization: 0.31 μB/f.u.

extended XYZ file:
```
8
Lattice="-2.849 -2.176 -2.865 2.533 -2.401 2.979 -6.387 0.589 5.904" Properties=species:S:1:pos:R:3 pbc="T T T"
Tc 0.000 0.000 0.000
Al -0.858 -2.178 2.508
Sc -2.965 -1.984 4.455
Sc -5.138 -1.783 6.464
Tc -3.194 0.295 2.952
Sc -3.738 -2.003 1.564
Sc -1.565 -2.204 -0.445
Al -5.845 -1.809 3.512
```

---

*2*
Material: Sc2AlTc
Method: DFT, PBE
State: relaxed

Properties
As for the space group: F-43m (216). As for the magnetization: 0.07 μB/f.u.

extended XYZ file:
```
4
Lattice="0.000 3.276 3.276 3.276 0.000 3.276 3.276 3.276 0.000" Properties=species:S:1:pos:R:3 pbc="T T T"
Tc 1.638 1.638 1.638
Al 3.276 3.276 3.276
Sc 4.913 4.913 4.913
Sc 0.000 0.000 0.000
```

---

The structure with the least stability is *1*.

---

*1*
Material: ScAlTc
Method: DFT, PBE
State: relaxed

Properties
As for the space group: Amm2 (38). As for the magnetization: 0.00 μB/f.u.

extended XYZ file:
```
12
Lattice="8.639 0.000 0.000 0.000 2.647 4.541 0.000 -2.647 4.541" Properties=species:S:1:pos:R:3 pbc="T T T"
Tc 0.000 0.000 1.509
Sc 1.534 0.000 6.089
Sc 2.695 0.000 3.029
Sc 5.944 0.000 3.029
Al 6.494 0.000 9.023
Tc 0.000 -1.265 3.745
Al 4.319 -1.297 5.358
Al 2.144 0.000 9.023
Tc 0.000 1.265 3.745
Sc 7.104 0.000 6.089
Al 4.319 1.297 5.358
Tc 4.319 0.000 7.580
```

---

*2*
Material: ScAlTc
Method: DFT, PBE
State: relaxed

Properties
As for the space group: I4mm (107). As for the magnetization: 0.00 μB/f.u.

extended XYZ file:
```
3
Lattice="4.844 1.625 -0.826 1.420 4.763 -1.445 -2.961 -2.562 3.385" Properties=species:S:1:pos:R:3 pbc="T T T"
Al 4.040 4.120 -1.465
Sc 2.147 2.189 -0.778
Tc 0.078 0.079 -0.028
```

---

The structure with the least stability is *2*.

---

*1*
Material: ScAlTc
Method: DFT, PBE
State: relaxed

Properties
As for the space group: P4/mmm (123). As for the magnetization: 0.01 μB/f.u.

extended XYZ file:
```
6
Lattice="-1.025 -0.351 -3.126 -1.051 -3.060 0.688 -8.180 3.329 2.307" Properties=species:S:1:pos:R:3 pbc="T T T"
Sc -2.385 -1.157 -0.839
Sc -7.870 1.075 0.709
Al -5.254 2.138 1.482
Al -2.926 1.191 0.825
Tc -5.128 -0.041 -0.065
Tc 0.000 0.000 0.000
```

---

*2*
Material: ScAlTc
Method: DFT, PBE
State: relaxed

Properties
As for the space group: P4/nmm (129). As for the magnetization: 0.01 μB/f.u.

extended XYZ file:
```
6
Lattice="3.269 0.000 0.000 0.000 3.269 0.000 0.000 0.000 9.805" Properties=species:S:1:pos:R:3 pbc="T T T"
Tc 0.000 1.634 7.750
Tc 1.634 0.000 2.055
Al 1.634 0.000 9.056
Al 0.000 1.634 0.748
Sc 0.000 1.634 3.585
Sc 1.634 0.000 6.219
```

---

The structure with the least stability is *2*.

---

*1*
Material: ScAlTc
Method: DFT, PBE
State: relaxed

Properties
As for the space group: F-43m (216). As for the magnetization: 0.58 μB/f.u.

extended XYZ file:
```
3
Lattice="0.000 3.132 3.132 3.132 0.000 3.132 3.132 3.132 0.000" Properties=species:S:1:pos:R:3 pbc="T T T"
Al 1.566 1.566 1.566
Sc 0.000 0.000 0.000
Tc 4.698 4.698 4.698
```

---

*2*
Material: ScAlTc
Method: DFT, PBE
State: relaxed

Properties
As for the space group: F-43m (216). As for the magnetization: 0.04 μB/f.u.

extended XYZ file:
```
3
Lattice="-0.821 0.930 4.178 -1.779 3.832 1.071 -4.114 0.169 1.427" Properties=species:S:1:pos:R:3 pbc="T T T"
Tc 0.000 0.000 0.000
Sc -5.036 3.698 5.007
Al -1.679 1.233 1.669
```

---

The structure with the least stability is *1*.

---

*1*
Material: TmScAl
Method: DFT, PBE
State: relaxed

Properties
As for the space group: F-43m (216). As for the magnetization: 0.04 μB/f.u.

extended XYZ file:
```
3
Lattice="0.109 -4.190 2.538 2.176 -0.150 4.388 -2.702 -0.476 4.060" Properties=species:S:1:pos:R:3 pbc="T T T"
Al -0.104 -1.204 2.747
Tm 0.000 0.000 0.000
Sc -0.313 -3.612 8.240
```

---

*2*
Material: TmScAl
Method: DFT, PBE
State: relaxed

Properties
As for the space group: F-43m (216). As for the magnetization: 0.00 μB/f.u.

extended XYZ file:
```
3
Lattice="1.212 2.979 3.643 -3.304 1.208 3.353 0.387 -1.728 4.525" Properties=species:S:1:pos:R:3 pbc="T T T"
Sc 0.000 0.000 0.000
Tm -1.278 1.845 8.641
Al -0.426 0.615 2.880
```

---

The structure with the least stability is *1*.

---

*1*
Material: Sc2AlZn
Method: DFT, PBE
State: relaxed

Properties
As for the space group: C2/m (12). As for the magnetization: 0.00 μB/f.u.

extended XYZ file:
```
16
Lattice="8.759 2.708 -2.508 2.526 5.509 -2.622 -1.515 -3.010 8.792" Properties=species:S:1:pos:R:3 pbc="T T T"
Al 9.390 4.085 -3.162
Sc 5.429 -0.222 4.716
Sc 4.342 5.430 -1.055
Zn 6.280 5.495 -3.223
Zn -0.120 -0.119 3.738
Sc 6.195 1.280 0.317
Zn 9.891 5.327 -0.077
Al 5.515 3.980 1.177
Al 4.256 1.228 2.484
Sc 1.050 -1.581 5.966
Sc 2.321 1.175 4.656
Sc 6.701 2.525 3.398
Zn 3.491 -0.287 6.884
Sc 7.450 4.033 -0.995
Sc 3.070 2.683 0.263
Al 0.381 1.123 6.823
```

---

*2*
Material: Sc2AlZn
Method: DFT, PBE
State: relaxed

Properties
As for the space group: P4/mmm (123). As for the magnetization: 0.01 μB/f.u.

extended XYZ file:
```
4
Lattice="3.332 0.000 0.000 0.000 3.332 0.000 0.000 0.000 6.825" Properties=species:S:1:pos:R:3 pbc="T T T"
Al 0.000 0.000 3.412
Sc 1.666 1.666 5.165
Sc 1.666 1.666 1.660
Zn 0.000 0.000 0.000
```

---

*3*
Material: Sc2AlZn
Method: DFT, PBE
State: relaxed

Properties
As for the space group: P6_3/mmc (194). As for the magnetization: 0.00 μB/f.u.

extended XYZ file:
```
8
Lattice="2.673 0.905 3.748 -4.611 -0.692 0.519 1.469 -8.960 1.115" Properties=species:S:1:pos:R:3 pbc="T T T"
Sc -0.841 -8.345 2.614
Al 1.347 -6.347 3.508
Zn 0.000 0.000 0.000
Sc 0.853 -3.333 3.133
Al -1.816 -2.400 1.874
Sc -1.322 -5.414 2.250
Sc 0.372 -0.401 2.768
Zn 0.735 -4.480 0.558
```

---

*4*
Material: Sc2AlZn
Method: DFT, PBE
State: relaxed

Properties
As for the space group: F-43m (216). As for the magnetization: 0.07 μB/f.u.

extended XYZ file:
```
4
Lattice="1.927 -4.270 -0.950 -1.386 -3.850 2.471 -2.622 -3.386 -2.123" Properties=species:S:1:pos:R:3 pbc="T T T"
Zn -0.520 -2.877 -0.151
Al 0.000 0.000 0.000
Sc -1.040 -5.753 -0.301
Sc -1.561 -8.630 -0.452
```

---

The structure with the least stability is *3*.

---

*1*
Material: Sc2AlZn
Method: DFT, PBE
State: relaxed

Properties
As for the space group: Fm-3m (225). As for the magnetization: 0.00 μB/f.u.

extended XYZ file:
```
24
Lattice="-0.284 -2.853 3.800 2.408 -5.110 -3.656 13.308 3.616 3.710" Properties=species:S:1:pos:R:3 pbc="T T T"
Sc 3.740 -6.082 1.676
Zn 12.152 -0.969 3.165
Zn 7.716 -2.174 1.927
Sc 4.896 -1.498 2.222
Sc 6.100 -4.053 0.394
Al 2.076 -0.823 2.517
Zn 0.000 0.000 0.000
Sc 9.332 -0.294 3.461
Zn 3.280 -3.378 0.689
Sc 10.536 -2.849 1.632
Zn 8.872 2.410 2.475
Sc 2.536 -3.527 3.504
Sc 8.460 -2.025 -0.887
Al 10.076 -0.145 0.646
Sc 7.256 0.531 0.941
Al 1.204 -2.555 -1.828
Al 6.512 0.382 3.755
Sc 1.664 -5.259 -0.842
Al 10.948 1.586 4.993
Sc 11.692 1.735 2.179
Sc 0.460 -2.704 0.986
Zn 4.152 -1.647 5.036
Al 5.356 -4.202 3.208
Sc 12.896 -0.820 0.351
```

---

*2*
Material: Sc2AlZn
Method: DFT, PBE
State: relaxed

Properties
As for the space group: P6_3/mmc (194). As for the magnetization: 0.54 μB/f.u.

extended XYZ file:
```
8
Lattice="-2.154 -2.873 2.567 1.581 -1.291 -3.913 8.195 -2.461 4.123" Properties=species:S:1:pos:R:3 pbc="T T T"
Zn 6.482 -3.664 1.339
Zn 1.140 -2.961 1.437
Al 2.049 -0.615 1.031
Sc 1.102 -2.048 -1.368
Sc 6.520 -4.576 4.144
Sc 3.668 -2.819 -0.077
Sc 3.954 -3.806 2.853
Al 6.146 -1.846 3.092
```

---

The structure with the least stability is *2*.